# 1
{"formula": "Gd2Y3Ga3", "functional": "GGA-PBE", "state": "optimized geometry", "cell": [[5.513, 0.000, 0.000], [0.000, 3.726, 5.059], [0.000, -3.726, 5.059]], "species": ["Gd", "Gd", "Y", "Y", "Y", "Ga", "Ga", "Ga"], "fractional_positions": [[0.000, 0.000, 0.000], [0.500, 0.415, 0.415], [0.000, 0.493, 0.990], [0.000, 0.990, 0.493], [0.500, 0.804, 0.804], [0.000, 0.511, 0.511], [0.500, 0.279, 0.934], [0.500, 0.934, 0.279]], "relative_energy_ev_per_atom": 0.106, "mass_density_g_cm3": 6.3, "spacegroup": "Amm2"}

***

# 2
{"formula": "GdYGa2", "functional": "GGA-PBE", "state": "optimized geometry", "cell": [[5.227, 0.000, 0.000], [0.000, 5.935, 3.070], [0.000, -5.935, 3.070]], "species": ["Gd", "Gd", "Y", "Y", "Ga", "Ga", "Ga", "Ga"], "fractional_positions": [[0.250, 0.181, 0.819], [0.750, 0.819, 0.181], [0.250, 0.627, 0.776], [0.750, 0.776, 0.627], [0.250, 0.143, 0.289], [0.250, 0.674, 0.328], [0.750, 0.289, 0.143], [0.750, 0.328, 0.674]], "relative_energy_ev_per_atom": 0.326, "mass_density_g_cm3": 6.7, "spacegroup": "Ama2"}

***

# 3
{"formula": "GdYGa4", "functional": "GGA-PBE", "state": "optimized geometry", "cell": [[2.057, -9.438, 0.000], [2.057, 9.438, 0.000], [0.000, 0.000, 6.500]], "species": ["Gd", "Gd", "Y", "Y", "Ga", "Ga", "Ga", "Ga", "Ga", "Ga", "Ga", "Ga"], "fractional_positions": [[0.235, 0.765, 0.750], [0.765, 0.235, 0.250], [0.089, 0.911, 0.250], [0.911, 0.089, 0.750], [0.070, 0.930, 0.750], [0.356, 0.644, 0.043], [0.356, 0.644, 0.457], [0.500, 0.500, 0.000], [0.500, 0.500, 0.500], [0.644, 0.356, 0.543], [0.644, 0.356, 0.957], [0.930, 0.070, 0.250]], "relative_energy_ev_per_atom": 0.066, "mass_density_g_cm3": 6.9, "spacegroup": "Cmcm"}

***

# 4
{"formula": "Gd2YGa5", "functional": "GGA-PBE", "state": "optimized geometry", "cell": [[4.773, 0.000, 0.000], [0.000, 3.736, 4.902], [0.000, -3.736, 4.902]], "species": ["Gd", "Gd", "Y", "Ga", "Ga", "Ga", "Ga", "Ga"], "fractional_positions": [[0.000, 0.000, 0.000], [0.500, 0.322, 0.322], [0.500, 0.747, 0.747], [0.000, 0.014, 0.496], [0.000, 0.496, 0.014], [0.000, 0.526, 0.526], [0.500, 0.262, 0.823], [0.500, 0.823, 0.262]], "mass_density_g_cm3": 7.1, "final_energy_ev_per_fu": -34.95, "spacegroup": "Amm2"}

***

# 5
{"formula": "GdYGa4", "functional": "GGA-PBE", "state": "optimized geometry", "cell": [[4.379, 0.000, 0.000], [-2.189, 3.792, 0.000], [0.000, 0.000, 7.383]], "species": ["Gd", "Y", "Ga", "Ga", "Ga", "Ga"], "fractional_positions": [[0.000, 0.000, 0.000], [0.000, 0.000, 0.500], [0.333, 0.667, 0.248], [0.333, 0.667, 0.752], [0.667, 0.333, 0.255], [0.667, 0.333, 0.745]], "relative_energy_ev_per_atom": 0.000, "mass_density_g_cm3": 7.1, "spacegroup": "P-6m2"}

***

# 6
{"formula": "Gd2Y3Ga3", "functional": "GGA-PBE", "state": "optimized geometry", "cell": [[6.990, 0.000, 0.000], [-3.495, 6.054, 0.000], [0.000, 0.000, 4.940]], "species": ["Gd", "Gd", "Y", "Y", "Y", "Ga", "Ga", "Ga"], "fractional_positions": [[0.000, 0.000, 0.000], [0.333, 0.667, 0.500], [0.354, 0.177, 0.500], [0.823, 0.177, 0.500], [0.823, 0.646, 0.500], [0.520, 0.039, 0.000], [0.520, 0.480, 0.000], [0.961, 0.480, 0.000]], "relative_energy_ev_per_atom": 0.110, "mass_density_g_cm3": 6.3, "spacegroup": "P-6m2"}

***

# 7
{"formula": "GdYGa2", "functional": "GGA-PBE", "state": "optimized geometry", "cell": [[3.592, -5.061, 0.000], [3.592, 5.061, 0.000], [0.000, 0.000, 5.076]], "species": ["Gd", "Gd", "Y", "Y", "Ga", "Ga", "Ga", "Ga"], "fractional_positions": [[0.127, 0.873, 0.750], [0.873, 0.127, 0.250], [0.374, 0.626, 0.250], [0.626, 0.374, 0.750], [0.129, 0.373, 0.750], [0.373, 0.129, 0.250], [0.627, 0.871, 0.750], [0.871, 0.627, 0.250]], "relative_energy_ev_per_atom": 0.055, "mass_density_g_cm3": 6.9, "spacegroup": "Cmcm"}

***

# 8
{"formula": "GdZnGa", "functional": "GGA-PBE", "state": "optimized geometry", "cell": [[4.407, 0.000, 0.000], [-2.204, 3.817, 0.000], [0.000, 0.000, 7.391]], "species": ["Gd", "Gd", "Zn", "Zn", "Ga", "Ga"], "fractional_positions": [[0.000, 0.000, 0.000], [0.000, 0.000, 0.500], [0.333, 0.667, 0.250], [0.667, 0.333, 0.750], [0.333, 0.667, 0.750], [0.667, 0.333, 0.250]], "mass_density_g_cm3": 7.8, "final_energy_ev_per_fu": -10.65, "spacegroup": "P6_3/mmc"}

***

# 9
{"formula": "GdZnGa", "functional": "GGA-PBE", "state": "optimized geometry", "cell": [[4.899, 0.000, 0.000], [-2.450, 4.243, 0.000], [0.000, 0.000, 5.992]], "species": ["Gd", "Gd", "Zn", "Zn", "Ga", "Ga"], "fractional_positions": [[0.333, 0.667, 0.250], [0.667, 0.333, 0.750], [0.000, 0.000, 0.000], [0.000, 0.000, 0.500], [0.333, 0.667, 0.750], [0.667, 0.333, 0.250]], "mass_density_g_cm3": 7.8, "final_energy_ev_per_fu": -10.18, "spacegroup": "P6_3/mmc"}

***

# 10
{"formula": "GdZrGa", "functional": "GGA-PBE", "state": "optimized geometry", "cell": [[0.000, 3.384, 3.384], [3.384, 0.000, 3.384], [3.384, 3.384, 0.000]], "species": ["Gd", "Zr", "Ga"], "fractional_positions": [[0.000, 0.000, 0.000], [0.500, 0.500, 0.500], [0.250, 0.250, 0.250]], "mass_density_g_cm3": 6.8, "final_energy_ev_per_fu": -16.50, "spacegroup": "F-43m"}

***

# 11
{"formula": "Hf2GaGe2", "functional": "GGA-PBE", "state": "optimized geometry", "cell": [[-1.801, 1.801, 7.419], [1.801, -1.801, 7.419], [1.801, 1.801, -7.419]], "species": ["Hf", "Hf", "Ga", "Ge", "Ge"], "fractional_positions": [[0.104, 0.104, 0.000], [0.896, 0.896, 0.000], [0.500, 0.500, 0.000], [0.250, 0.750, 0.500], [0.750, 0.250, 0.500]], "mass_density_g_cm3": 9.9, "final_energy_ev_per_fu": -33.38, "spacegroup": "I4/mmm"}

***

# 12
{"formula": "Hf2GaGe", "functional": "GGA-PBE", "state": "optimized geometry", "cell": [[5.384, 0.000, 0.000], [0.000, 3.827, 0.000], [-2.654, 0.000, 7.170]], "species": ["Hf", "Hf", "Hf", "Hf", "Ga", "Ga", "Ge", "Ge"], "fractional_positions": [[0.209, 0.250, 0.427], [0.283, 0.750, 0.070], [0.717, 0.250, 0.930], [0.791, 0.750, 0.573], [0.384, 0.750, 0.706], [0.616, 0.250, 0.294], [0.125, 0.250, 0.794], [0.875, 0.750, 0.206]], "mass_density_g_cm3": 11.2, "final_energy_ev_per_fu": -30.06, "spacegroup": "P2_1/m"}